First-principles (PBE) data for crystalline Sc2BO at its relaxed geometry, as listed in Alexandria.

* relative energy among the computed polymorphs: 515.9 meV/atom
* energy relative to the elements, uncorrected: -0.7232 eV per atom
* total magnetization: 0.237 μB/atom
* DFT total energy: -27.19 eV/f.u.

a = 4.165 Å, b = 4.165 Å, c = 4.165 Å
α = 60.00°, β = 60.00°, γ = 60.00°
Site moments in Bohr magnetons follow the coordinates.
Atoms (fractional coordinates):
Sc1 0.250 0.250 0.250  0.11
Sc2 0.750 0.750 0.750  0.11
B1 0.000 0.000 0.000  0.24
O1 0.500 0.500 0.500  0.19

***

First-principles (PBE) data for crystalline Sc3BO6 at its relaxed geometry, as listed in Alexandria.

* energy relative to the elements, uncorrected: -3.2260 eV per atom
* total magnetization: 0.000 μB/atom
* DFT total energy: -87.68 eV/f.u.

a = 4.879 Å, b = 6.601 Å, c = 6.601 Å
α = 102.88°, β = 90.00°, γ = 90.00°
Atoms (fractional coordinates):
Sc1 0.477 0.917 0.702
Sc2 0.918 0.601 0.399
Sc3 0.977 0.083 0.298
Sc4 0.477 0.298 0.083
Sc5 0.418 0.399 0.601
Sc6 0.977 0.702 0.917
O1 0.200 0.358 0.318
O2 0.162 0.405 0.884
O3 0.700 0.318 0.358
O4 0.700 0.642 0.682
O5 0.144 0.060 0.940
O6 0.721 0.204 0.796
O7 0.221 0.796 0.204
O8 0.162 0.116 0.595
O9 0.662 0.595 0.116
O10 0.662 0.884 0.405
O11 0.644 0.940 0.060
O12 0.200 0.682 0.642
B1 0.527 0.804 0.196
B2 0.027 0.196 0.804

***

First-principles (PBE) data for crystalline Sc2BO at its relaxed geometry, as listed in Alexandria.

* relative energy among the computed polymorphs: 98.5 meV/atom
* energy relative to the elements, uncorrected: -1.1406 eV per atom
* total magnetization: 0.000 μB/atom
* DFT total energy: -28.86 eV/f.u.

a = 6.832 Å, b = 6.832 Å, c = 6.832 Å
α = 30.52°, β = 30.52°, γ = 30.52°
Atoms (fractional coordinates):
Sc1 0.097 0.097 0.097
Sc2 0.903 0.903 0.903
O1 0.000 0.000 0.000
B1 0.500 0.500 0.500

***

First-principles (PBE) data for crystalline Sc6BO12 at its relaxed geometry, as listed in Alexandria.

* energy relative to the elements, uncorrected: -2.7452 eV per atom
* total magnetization: 0.161 μB/atom
* DFT total energy: -156.32 eV/f.u.

a = 6.003 Å, b = 6.003 Å, c = 6.003 Å
α = 99.18°, β = 99.18°, γ = 99.18°
Site moments in Bohr magnetons follow the coordinates.
Atoms (fractional coordinates):
O1 0.176 0.428 0.593  0.04
O2 0.035 0.722 0.926  0.40
O3 0.722 0.926 0.035  0.40
O4 0.593 0.176 0.428  0.04
O5 0.074 0.965 0.278  0.40
O6 0.407 0.824 0.572  0.04
O7 0.965 0.278 0.074  0.40
O8 0.572 0.407 0.824  0.04
O9 0.428 0.593 0.176  0.04
O10 0.824 0.572 0.407  0.04
O11 0.278 0.074 0.965  0.40
O12 0.926 0.035 0.722  0.40
B1 0.000 0.000 0.000  -0.03
Sc1 0.141 0.607 0.311  0.00
Sc2 0.859 0.393 0.689  0.00
Sc3 0.311 0.141 0.607  0.00
Sc4 0.607 0.311 0.141  0.00
Sc5 0.689 0.859 0.393  0.00
Sc6 0.393 0.689 0.859  0.00